# 1
# AgSeN2O

AgSeN2O after structural relaxation (PBE, Alexandria via LeMat-Bulk).

a b c (Å): 3.984 3.984 3.865
angles (deg): 90.00 90.00 90.00
Positions (direct):
Ag1 0.500 0.500 0.500
Se1 0.000 0.000 0.000
N1 0.500 0.000 0.000
N2 0.000 0.500 0.000
O1 0.000 0.000 0.500

Properties
ρ ... 6.25 g/cm³
Total magnetic moment ... 2.23 μB/f.u.
E_tot ... -4.189 eV per atom
Symmetry ... P4/mmm, No. 123

# 2
# Ag3SeNO3

Ag3SeNO3 after structural relaxation (PBE, Alexandria via LeMat-Bulk).

a b c (Å): 6.364 6.364 6.364
angles (deg): 85.28 85.28 85.28
Positions (direct):
Ag1 0.697 0.244 0.571
Ag2 0.071 0.744 0.197
Ag3 0.571 0.697 0.244
Ag4 0.197 0.071 0.744
Ag5 0.244 0.571 0.697
Ag6 0.744 0.197 0.071
O1 0.835 0.917 0.566
O2 0.335 0.066 0.417
O3 0.917 0.566 0.835
O4 0.417 0.335 0.066
O5 0.066 0.417 0.335
O6 0.566 0.835 0.917
Se1 0.719 0.719 0.719
Se2 0.219 0.219 0.219
N1 0.070 0.070 0.070
N2 0.570 0.570 0.570

Properties
ρ ... 6.05 g/cm³
Total magnetic moment ... 0.00 μB/f.u.
E_tot ... -4.414 eV per atom
Symmetry ... R3c, No. 161

# 3
# AgSeN2O

AgSeN2O after structural relaxation (PBE, Alexandria via LeMat-Bulk).

a b c (Å): 3.918 3.918 5.848
angles (deg): 90.00 90.00 90.00
Positions (direct):
Se1 0.000 0.000 0.500
O1 0.500 0.500 0.500
Ag1 0.000 0.000 0.000
N1 0.500 0.000 0.000
N2 0.000 0.500 0.000

Properties
ρ ... 4.27 g/cm³
Total magnetic moment ... 4.24 μB/f.u.
E_tot ... -3.349 eV per atom
Symmetry ... P4/mmm, No. 123

Question: Which of these has the lowest total magnetic moment?
Answer: Ag3SeNO3

Question: Among the records above, which one has the lowest total magnetic moment?
Answer: Ag3SeNO3